1.
Crystalline ZnAsAuI2 at its relaxed geometry. Source: Alexandria via LeMat-Bulk, functional PBE.

Cell lengths 5.6952, 5.6952, 4.7648 Å; angles 90.00, 90.00, 90.00 degrees
Space group P4/mmm (No. 123)
Asymmetric unit:
Zn: 0.0000 0.0000 0.0000 (multiplicity 1)
As: 0.0000 0.0000 0.5000 (multiplicity 1)
Au: 0.5000 0.5000 0.5000 (multiplicity 1)
I: 0.0000 0.5000 0.0000 (multiplicity 2)

Calculated values
V: 30.91 Å³ per atom
final energy: -9.17 eV for the cell shown
ΔE_f (raw): 626 meV per atom

***

2.
Crystalline InAsAu4 at its relaxed geometry. Source: Alexandria via LeMat-Bulk, functional PBE.

Cell lengths 7.8791, 7.8791, 7.8791 Å; angles 90.00, 90.00, 90.00 degrees
Space group F-43m (No. 216)
Asymmetric unit:
In: 0.0000 0.0000 0.0000 (multiplicity 4)
As: 0.2500 0.2500 0.7500 (multiplicity 4)
Au: 0.1249 0.1249 0.3751 (multiplicity 16)

Calculated values
V: 20.38 Å³ per atom
DFT formation energy: 0.103 eV/atom
final energy: -79.51 eV for the cell shown

***

3.
Crystalline InAs2Au at its relaxed geometry. Source: Alexandria via LeMat-Bulk, functional PBE.

Cell lengths 3.4236, 5.1512, 9.7724 Å; angles 90.00, 90.00, 90.00 degrees
Space group Cmm2 (No. 35)
Asymmetric unit:
In: 0.0000 0.0000 0.0000 (multiplicity 2)
As: 0.0000 0.0000 0.4978 (multiplicity 2)
As: 0.0000 0.5000 0.6970 (multiplicity 2)
Au: 0.0000 0.5000 0.2459 (multiplicity 2)

Calculated values
V: 21.54 Å³ per atom
DFT formation energy: 0.263 eV/atom
final energy: -28.52 eV for the cell shown

***

4.
Crystalline In5As3Au12 at its relaxed geometry. Source: Alexandria via LeMat-Bulk, functional PBE.

Cell lengths 15.8227, 15.8227, 15.8227 Å; angles 90.00, 90.00, 90.00 degrees
Space group Ia-3d (No. 230)
Asymmetric unit:
In: 0.0000 0.0000 0.0000 (multiplicity 16)
In: 0.0000 0.2500 0.3750 (multiplicity 24)
As: 0.0000 0.2500 0.1250 (multiplicity 24)
Au: 0.0165 0.0886 0.6497 (multiplicity 96)

Calculated values
V: 24.76 Å³ per atom
DFT formation energy: 0.137 eV/atom
final energy: -513.79 eV for the cell shown

***

5.
Crystalline InAs2Au at its relaxed geometry. Source: Alexandria via LeMat-Bulk, functional PBE.

Cell lengths 3.7101, 4.4916, 4.9893 Å; angles 90.00, 90.00, 90.00 degrees
Space group Pmmm (No. 47)
Asymmetric unit:
In: 0.0000 0.0000 0.0000 (multiplicity 1)
As: 0.0000 0.5000 0.5000 (multiplicity 1)
As: 0.5000 0.5000 0.0000 (multiplicity 1)
Au: 0.5000 0.0000 0.5000 (multiplicity 1)

Calculated values
V: 20.79 Å³ per atom
DFT formation energy: 0.227 eV/atom
final energy: -14.40 eV for the cell shown

***

6.
Crystalline InAs2Au at its relaxed geometry. Source: Alexandria via LeMat-Bulk, functional PBE.

Cell lengths 3.9860, 3.9860, 19.2249 Å; angles 90.00, 90.00, 120.00 degrees
Space group R-3m (No. 166, hexagonal axes)
Asymmetric unit:
In: 0.0000 0.0000 0.0000 (multiplicity 3)
As: 0.0000 0.0000 0.2374 (multiplicity 6)
Au: 0.0000 0.0000 0.5000 (multiplicity 3)

Calculated values
V: 22.04 Å³ per atom
DFT formation energy: 0.047 eV/atom
final energy: -45.38 eV for the cell shown